{
  "formula": "SrLiZnOs",
  "functional": "PBE",
  "state": "relaxed",
  "lattice_angstrom": [[-0.6072, 3.3981, 2.6141], [-2.5136, 0.4223, -1.1328], [-5.3596, -7.8542, 8.9650]],
  "species": ["Sr", "Sr", "Zn", "Zn", "Os", "Os", "Li", "Li"],
  "fractional_positions": [[0.0000, 0.0000, 0.7885], [0.0000, 0.5000, 0.2885], [0.5000, 0.5000, 0.6150], [0.5000, 0.0000, 0.1150], [0.5000, 0.0000, 0.4435], [0.5000, 0.5000, 0.9435], [0.0000, 0.0000, 0.0109], [0.0000, 0.5000, 0.5109]],
  "de_polymorph_ev_per_atom": 0.1582,
  "e_tot_ev_per_atom": -3.6202,
  "delta_e_f_ev_per_atom": 0.40,
  "total_magnetization_mub_per_cell": 0.00
}

***

{
  "formula": "EuYAl4",
  "functional": "PBE",
  "state": "relaxed",
  "lattice_angstrom": [[-5.0224, -2.2799, 1.1399], [-0.3079, -5.1567, 2.2441], [-1.6493, -0.6510, 5.3458]],
  "species": ["Al", "Al", "Al", "Al", "Y", "Eu"],
  "fractional_positions": [[0.6251, 0.6251, 0.1248], [0.6251, 0.6251, 0.6251], [0.6251, 0.1248, 0.6251], [0.1248, 0.6251, 0.6251], [0.0000, 0.0000, 0.0000], [0.2500, 0.2500, 0.2500]],
  "e_tot_ev_per_atom": -5.7334,
  "delta_e_f_ev_per_atom": -0.45,
  "total_magnetization_mub_per_cell": 7.42
}

***

{
  "formula": "MgAlNi2",
  "functional": "PBE",
  "state": "relaxed",
  "lattice_angstrom": [[5.0208, 0.0230, 0.0245], [2.4580, 4.3781, -0.0245], [-3.3623, -2.8414, 2.4148]],
  "species": ["Ni", "Ni", "Al", "Mg"],
  "fractional_positions": [[0.9880, 0.9880, 0.0000], [0.7481, 0.2481, 0.5000], [0.5201, 0.5201, 0.0000], [0.2439, 0.7439, 0.5000]],
  "e_tot_ev_per_atom": -4.5387,
  "delta_e_f_ev_per_atom": -0.31,
  "total_magnetization_mub_per_cell": 0.00
}

***

{
  "formula": "Ac3ScGe3",
  "functional": "PBE",
  "state": "relaxed",
  "lattice_angstrom": [[-2.5509, -0.2989, 5.8920], [8.6233, -1.5661, 3.6539], [-3.2155, 8.8848, -0.9414]],
  "species": ["Sc", "Sc", "Ge", "Ge", "Ge", "Ge", "Ge", "Ge", "Ac", "Ac", "Ac", "Ac", "Ac", "Ac"],
  "fractional_positions": [[0.7500, 0.3333, 0.6667], [0.2500, 0.6667, 0.3333], [0.7500, 0.6268, 0.9407], [0.2500, 0.3732, 0.0593], [0.7500, 0.0593, 0.6861], [0.7500, 0.3139, 0.3732], [0.2500, 0.6861, 0.6268], [0.2500, 0.9407, 0.3139], [0.2500, 0.6452, 0.9442], [0.2500, 0.2990, 0.3548], [0.7500, 0.9442, 0.2990], [0.7500, 0.3548, 0.0558], [0.2500, 0.0558, 0.7010], [0.7500, 0.7010, 0.6452]],
  "e_tot_ev_per_atom": -5.1691,
  "delta_e_f_ev_per_atom": -0.52,
  "total_magnetization_mub_per_cell": 0.00
}

***

{
  "formula": "Ni3RhCl",
  "functional": "PBE",
  "state": "relaxed",
  "lattice_angstrom": [[4.0940, 0.0000, 0.0000], [0.0000, 4.0940, 0.0000], [0.0000, 0.0000, 4.0940]],
  "species": ["Ni", "Ni", "Ni", "Rh", "Cl"],
  "fractional_positions": [[0.5000, 0.0000, 0.0000], [0.0000, 0.5000, 0.0000], [0.0000, 0.0000, 0.5000], [0.5000, 0.5000, 0.5000], [0.0000, 0.0000, 0.0000]],
  "de_polymorph_ev_per_atom": 0.0000,
  "e_tot_ev_per_atom": -4.6213,
  "e_form_raw_ev_per_atom": 0.6871,
  "total_magnetization_mub_per_cell": 0.00
}

***

{
  "formula": "Cu2Au3",
  "functional": "PBE",
  "state": "relaxed",
  "lattice_angstrom": [[2.9158, 0.0000, 0.0000], [-1.4579, 10.9032, -0.0100], [1.4579, -0.1926, 2.5178]],
  "species": ["Au", "Au", "Au", "Cu", "Cu"],
  "fractional_positions": [[0.4045, 0.2136, 0.4045], [0.2000, 0.6000, 0.2000], [0.9955, 0.9864, 0.9955], [0.8019, 0.4057, 0.8019], [0.5981, 0.7943, 0.5981]],
  "de_polymorph_ev_per_atom": 0.0565,
  "e_tot_ev_per_atom": -3.5925,
  "delta_e_f_ev_per_atom": 0.01,
  "total_magnetization_mub_per_cell": 0.00
}

***

{
  "formula": "Na4NpO5",
  "functional": "PBE",
  "state": "relaxed",
  "lattice_angstrom": [[-5.6948, -1.4585, -0.2936], [4.9262, -3.0533, 1.0269], [-0.1322, 3.2055, 4.9347]],
  "species": ["Na", "Na", "Na", "Na", "O", "O", "O", "O", "O", "Np"],
  "fractional_positions": [[0.3964, 0.1992, 0.5956], [0.8008, 0.3964, 0.1973], [0.6036, 0.8008, 0.4044], [0.1992, 0.6036, 0.8027], [0.7470, 0.0747, 0.8216], [0.9253, 0.7470, 0.6723], [0.5000, 0.5000, 0.0000], [0.0747, 0.2530, 0.3277], [0.2530, 0.9253, 0.1784], [0.0000, 0.0000, 0.0000]],
  "e_tot_ev_per_atom": -6.5150,
  "e_form_raw_ev_per_atom": -2.2143,
  "total_magnetization_mub_per_cell": 1.00
}

***

{
  "formula": "Pm2TlI2",
  "functional": "PBE",
  "state": "relaxed",
  "lattice_angstrom": [[-2.9860, 3.0487, 0.1719], [-4.1007, -0.9870, -0.6710], [-3.8127, -1.4069, 11.7787]],
  "species": ["I", "I", "Pm", "Pm", "Tl"],
  "fractional_positions": [[0.7773, 0.7773, 0.6682], [0.2227, 0.2227, 0.3318], [0.3886, 0.3886, 0.8342], [0.6114, 0.6114, 0.1658], [0.0000, 0.0000, 0.0000]],
  "e_tot_ev_per_atom": -3.9344,
  "e_form_raw_ev_per_atom": -0.9409,
  "total_magnetization_mub_per_cell": 0.00
}

***

{
  "formula": "Tb2AgSn",
  "functional": "PBE",
  "state": "relaxed",
  "lattice_angstrom": [[-0.3023, 1.1900, -4.4420], [-2.2473, -5.6297, -1.3552], [-5.9688, 4.9214, 1.7246]],
  "species": ["Sn", "Sn", "Tb", "Tb", "Tb", "Tb", "Ag", "Ag"],
  "fractional_positions": [[0.2500, 0.3316, 0.7092], [0.7500, 0.6684, 0.2908], [0.2500, 0.7984, 0.0659], [0.2500, 0.7912, 0.5843], [0.7500, 0.2016, 0.9341], [0.7500, 0.2088, 0.4157], [0.2500, 0.3441, 0.2077], [0.7500, 0.6559, 0.7923]],
  "e_tot_ev_per_atom": -4.5489,
  "delta_e_f_ev_per_atom": -0.52,
  "total_magnetization_mub_per_cell": 0.00
}

***

{
  "formula": "BaZr2Se",
  "functional": "PBE",
  "state": "relaxed",
  "lattice_angstrom": [[-0.5040, 1.5384, 4.9928], [-1.5560, -3.5139, 0.9257], [4.6920, -2.4282, 1.2219]],
  "species": ["Zr", "Zr", "Se", "Ba"],
  "fractional_positions": [[0.0000, 0.6450, 0.5307], [0.0000, 0.8550, 0.9693], [0.5000, 0.7500, 0.7500], [0.5000, 0.2500, 0.2500]],
  "e_tot_ev_per_atom": -5.7299,
  "e_form_raw_ev_per_atom": -0.1040,
  "total_magnetization_mub_per_cell": 0.00
}

***

{
  "formula": "SiH3Os",
  "functional": "PBE",
  "state": "relaxed",
  "lattice_angstrom": [[-3.1667, 0.6132, 1.0171], [-1.0486, -2.8036, -1.5744], [0.5576, -1.7895, 2.8152]],
  "species": ["H", "H", "H", "Os", "Si"],
  "fractional_positions": [[0.0000, 0.0000, 0.5000], [0.0000, 0.5000, 0.0000], [0.5000, 0.0000, 0.0000], [0.5000, 0.5000, 0.5000], [0.0000, 0.0000, 0.0000]],
  "de_polymorph_ev_per_atom": 0.6357,
  "e_tot_ev_per_atom": -4.0857,
  "total_magnetization_mub_per_cell": 0.93
}

***

{
  "formula": "KCePCO7",
  "functional": "PBE",
  "state": "relaxed",
  "lattice_angstrom": [[-0.9164, 6.7176, 1.8638], [-2.9251, -1.4449, 3.7696], [8.7847, -0.2196, 5.1109]],
  "species": ["Ce", "Ce", "O", "O", "O", "O", "O", "O", "O", "O", "O", "O", "O", "O", "O", "O", "C", "C", "P", "P", "K", "K"],
  "fractional_positions": [[0.2249, 0.2711, 0.6572], [0.7249, 0.7289, 0.3428], [0.7223, 0.6367, 0.5579], [0.7642, 0.3789, 0.1748], [0.7287, 0.1808, 0.4301], [0.2287, 0.8192, 0.5699], [0.2223, 0.3633, 0.4421], [0.2418, 0.2059, 0.8795], [0.2447, 0.5584, 0.0429], [0.2642, 0.6211, 0.8252], [0.0477, 0.7474, 0.3499], [0.7418, 0.7941, 0.1205], [0.5477, 0.2526, 0.6501], [0.4047, 0.7371, 0.3472], [0.9047, 0.2629, 0.6528], [0.7447, 0.4416, 0.9571], [0.2506, 0.4688, 0.9229], [0.7506, 0.5312, 0.0771], [0.7262, 0.3302, 0.5742], [0.2262, 0.6698, 0.4258], [0.6464, 0.9250, 0.8548], [0.1464, 0.0750, 0.1452]],
  "e_tot_ev_per_atom": -7.4731,
  "e_form_raw_ev_per_atom": -2.3483,
  "total_magnetization_mub_per_cell": 0.13
}

***

{
  "formula": "CrFeAuC2",
  "functional": "PBE",
  "state": "relaxed",
  "lattice_angstrom": [[-2.5896, -1.5328, 2.5699], [-1.8090, -2.8420, -3.5179], [2.6066, -2.8248, 0.9417]],
  "species": ["Au", "Cr", "C", "C", "Fe"],
  "fractional_positions": [[0.0000, 0.0000, 0.0000], [0.5000, 0.5000, 0.5000], [0.0000, 0.0000, 0.5000], [0.5000, 0.0000, 0.0000], [0.0000, 0.5000, 0.0000]],
  "e_tot_ev_per_atom": -5.1251,
  "delta_e_f_ev_per_atom": 2.84,
  "total_magnetization_mub_per_cell": 3.34
}

***

{
  "formula": "SbIr2Br",
  "functional": "PBE",
  "state": "relaxed",
  "lattice_angstrom": [[4.7137, 0.0000, 0.0000], [2.3569, 4.0822, 0.0000], [2.3569, 1.3607, 3.8487]],
  "species": ["Sb", "Ir", "Ir", "Br"],
  "fractional_positions": [[0.7500, 0.7500, 0.7500], [0.0000, 0.0000, 0.0000], [0.2500, 0.2500, 0.2500], [0.5000, 0.5000, 0.5000]],
  "de_polymorph_ev_per_atom": 0.5890,
  "e_tot_ev_per_atom": -4.9443,
  "e_form_raw_ev_per_atom": 0.9351,
  "total_magnetization_mub_per_cell": 0.00
}

***

{
  "formula": "MgBeB",
  "functional": "PBE",
  "state": "relaxed",
  "lattice_angstrom": [[3.3072, 0.0000, 0.0000], [1.6536, 4.5713, 0.0648], [1.6536, 0.3471, 4.5585]],
  "species": ["B", "B", "Be", "Be", "Mg", "Mg"],
  "fractional_positions": [[0.0000, 0.8635, 0.1365], [0.0000, 0.1365, 0.8635], [0.5000, 0.3185, 0.6815], [0.5000, 0.6815, 0.3185], [0.7492, 0.7508, 0.7508], [0.2508, 0.2492, 0.2492]],
  "de_polymorph_ev_per_atom": 0.2620,
  "e_tot_ev_per_atom": -3.7342,
  "delta_e_f_ev_per_atom": 0.27,
  "total_magnetization_mub_per_cell": 0.00
}

***

{
  "formula": "PmYCd2",
  "functional": "PBE",
  "state": "relaxed",
  "lattice_angstrom": [[5.3662, 0.0000, 0.0000], [2.6831, 4.6473, 0.0000], [2.6831, 1.5491, 4.3815]],
  "species": ["Y", "Cd", "Cd", "Pm"],
  "fractional_positions": [[0.5000, 0.5000, 0.5000], [0.2500, 0.2500, 0.2500], [0.7500, 0.7500, 0.7500], [0.0000, 0.0000, 0.0000]],
  "de_polymorph_ev_per_atom": 0.0000,
  "e_tot_ev_per_atom": -3.5987,
  "delta_e_f_ev_per_atom": -0.34,
  "total_magnetization_mub_per_cell": 0.54
}

***

{
  "formula": "MgScBr2",
  "functional": "PBE",
  "state": "relaxed",
  "lattice_angstrom": [[-2.8532, 2.2708, -0.0082], [-0.4341, -3.6164, -0.1750], [-0.3926, -0.4558, 10.3930]],
  "species": ["Br", "Br", "Sc", "Mg"],
  "fractional_positions": [[0.0000, 0.0000, 0.5576], [0.0000, 0.0000, 0.9424], [0.5000, 0.5000, 0.7500], [0.5000, 0.5000, 0.2500]],
  "de_polymorph_ev_per_atom": 0.2315,
  "e_tot_ev_per_atom": -3.5688,
  "e_form_raw_ev_per_atom": -0.7508,
  "total_magnetization_mub_per_cell": 0.47
}

***

{
  "formula": "CsPrNpO6",
  "functional": "PBE",
  "state": "relaxed",
  "lattice_angstrom": [[6.1101, 0.0004, 0.0003], [3.0554, 5.2913, -0.0002], [0.0003, -0.0006, 6.2864]],
  "species": ["O", "O", "O", "O", "O", "O", "Cs", "Np", "Pr"],
  "fractional_positions": [[0.0464, 0.5908, 0.6757], [0.3628, 0.5907, 0.3242], [0.5908, 0.0464, 0.3243], [0.0465, 0.3627, 0.3242], [0.3627, 0.0465, 0.6757], [0.5906, 0.3629, 0.6758], [0.0000, 0.0000, 0.0000], [0.3333, 0.3334, 0.5000], [0.6666, 0.6667, 0.5000]],
  "e_tot_ev_per_atom": -7.8082,
  "e_form_raw_ev_per_atom": -2.4389,
  "total_magnetization_mub_per_cell": 1.09
}

***

{
  "formula": "YBe2Se",
  "functional": "PBE",
  "state": "relaxed",
  "lattice_angstrom": [[-1.2185, 2.1123, -2.2667], [1.3260, -1.8436, -2.4346], [-5.0637, -3.2443, -0.3013]],
  "species": ["Be", "Be", "Y", "Se"],
  "fractional_positions": [[0.0000, 0.0000, 0.0783], [0.5000, 0.5000, 0.2161], [0.5000, 0.5000, 0.7551], [0.0000, 0.0000, 0.4505]],
  "e_tot_ev_per_atom": -4.4519,
  "e_form_raw_ev_per_atom": -0.1016,
  "total_magnetization_mub_per_cell": 0.26
}

***

{
  "formula": "SrLaTbNd",
  "functional": "PBE",
  "state": "relaxed",
  "lattice_angstrom": [[-4.7870, -0.1477, 3.6298], [-0.3351, -4.1167, 4.3650], [0.5359, 1.6659, 5.7489]],
  "species": ["La", "Sr", "Tb", "Nd"],
  "fractional_positions": [[0.2500, 0.2500, 0.2500], [0.0000, 0.0000, 0.0000], [0.5000, 0.5000, 0.5000], [0.7500, 0.7500, 0.7500]],
  "e_tot_ev_per_atom": -3.7974,
  "delta_e_f_ev_per_atom": 0.20,
  "total_magnetization_mub_per_cell": 0.00
}

***

Number 1: V 157.8 Å³ per cell. Number 2: V 126.3 Å³ per cell. Number 3: V 52.8 Å³ per cell. Number 4: V 501.9 Å³ per cell. Number 5: V 68.6 Å³ per cell. Number 6: V 80.0 Å³ per cell. Number 7: V 135.7 Å³ per cell. Number 8: V 192.9 Å³ per cell. Number 9: V 213.5 Å³ per cell. Number 10: V 111.8 Å³ per cell. Number 11: V 38.7 Å³ per cell. Number 12: V 353.7 Å³ per cell. Number 13: V 76.3 Å³ per cell. Number 14: V 74.1 Å³ per cell. Number 15: V 68.8 Å³ per cell. Number 16: V 109.3 Å³ per cell. Number 17: V 117.9 Å³ per cell. Number 18: V 203.2 Å³ per cell. Number 19: V 66.7 Å³ per cell. Number 20: V 153.5 Å³ per cell.